Density functional theory data (SCAN) for a crystal of Eu2ZnAg relaxed with PBEsol.

## Properties
V: 99.9 Å³ per cell
E: -153.46 eV for the cell shown
ΔH_f (0 K): -289 meV per atom
Spin magnetization: 14.74 μB/cell

```
Eu2ZnAg
1.0
0.000 3.683 3.683
3.683 0.000 3.683
3.683 3.683 0.000
Eu Zn Ag
2 1 1
direct
0.250 0.250 0.250 Eu
0.750 0.750 0.750 Eu
0.000 0.000 0.000 Zn
0.500 0.500 0.500 Ag
```